Version one
CuOsSe2: optimized geometry, GGA-PBE.

Summary:
M_tot: 0.0 μB per cell
density of states at the Fermi level: 3.42 states/eV per cell
calculated density: 9.78 g/cm3

Lattice parameters (Å, degrees): 2.881 3.200 7.700 90.00 99.98 90.00
Space group P2/m (No. 10)
Symmetry-distinct sites (fractional):
Cu 0.000 0.000 0.000 [1 per cell]
Os 0.000 0.000 0.500 [1 per cell]
Se 0.145 0.500 0.751 [2 per cell]

=====

Version two
CuOsSe2: optimized geometry, GGA-PBE.

Summary:
M_tot: 0.0 μB per cell
density of states at the Fermi level: 7.63 states/eV per cell
calculated density: 8.98 g/cm3

Lattice parameters (Å, degrees): 3.007 4.316 11.739 90.00 90.00 90.00
Space group Immm (No. 71)
Symmetry-distinct sites (fractional):
Cu 0.000 0.000 0.000 [2 per cell]
Os 0.000 0.000 0.500 [2 per cell]
Se 0.000 0.500 0.169 [4 per cell]

=====

Winner for stability: version two

=====

Version one
CuOs3Se: optimized geometry, GGA-PBE.

Summary:
M_tot: 0.0 μB per cell
density of states at the Fermi level: 7.32 states/eV per cell
calculated density: 13.19 g/cm3

Lattice parameters (Å, degrees): 4.478 4.478 4.478 90.00 90.00 90.00
Space group Pm-3m (No. 221)
Symmetry-distinct sites (fractional):
Cu 0.000 0.000 0.000 [1 per cell]
Os 0.000 0.000 0.500 [3 per cell]
Se 0.500 0.500 0.500 [1 per cell]

=====

Version two
CuOs3Se: optimized geometry, GGA-PBE.

Summary:
M_tot: 1.6 μB per cell
density of states at the Fermi level: 5.98 states/eV per cell
calculated density: 12.86 g/cm3

Lattice parameters (Å, degrees): 4.515 4.515 4.515 90.00 90.00 90.00
Space group Pm-3m (No. 221)
Symmetry-distinct sites (fractional):
Cu 0.000 0.000 0.000 [1 per cell]
Os 0.000 0.500 0.500 [3 per cell]
Se 0.500 0.500 0.500 [1 per cell]

=====

Winner for stability: version two

=====

Version one
Cu3OsSe: optimized geometry, GGA-PBE.

Summary:
M_tot: 2.3 μB per cell
density of states at the Fermi level: 5.35 states/eV per cell
calculated density: 8.81 g/cm3

Lattice parameters (Å, degrees): 4.426 4.426 4.426 90.00 90.00 90.00
Space group Pm-3m (No. 221)
Symmetry-distinct sites (fractional):
Cu 0.000 0.000 0.500 [3 per cell]
Os 0.500 0.500 0.500 [1 per cell]
Se 0.000 0.000 0.000 [1 per cell]

=====

Version two
Cu3OsSe: optimized geometry, GGA-PBE.

Summary:
M_tot: 1.6 μB per cell
density of states at the Fermi level: 4.78 states/eV per cell
calculated density: 7.55 g/cm3

Lattice parameters (Å, degrees): 4.659 4.659 4.659 90.00 90.00 90.00
Space group Pm-3m (No. 221)
Symmetry-distinct sites (fractional):
Cu 0.000 0.000 0.500 [3 per cell]
Os 0.000 0.000 0.000 [1 per cell]
Se 0.500 0.500 0.500 [1 per cell]

=====

Winner for stability: version one